Density functional theory data (PBE) for a relaxed structure of CrNiAs2.

Results
Calculated formation energy ... 211 meV per atom
Fermi-level density of states ... 1.066 states/eV/atom
VASP energy ... -5.9653 eV per atom

Unit cell a=5.4559 b=5.4559 c=10.7616 alpha=90.00 beta=90.00 gamma=90.00
Last column: nearest neighbours and their distance in Å.
Space group I-42d (No. 122)
One atom of each set of equivalent atoms:
Cr 0.0000 0.0000 0.0000  4 As 2.40
Ni 0.0000 0.0000 0.5000  4 As 2.31
As 0.2354 0.2500 0.6250  2 Ni 2.31, 2 Cr 2.40